The following is a GGA-PBE calculation of a geometry-optimized Zr2Co structure, from Alexandria.

a b c (Å): 5.2533 3.4063 13.1271
angles (deg): 90.00 102.83 90.00
Closest atoms and distances in Å follow each position.
Sites, in units of the cell vectors:
Co: 0.6568 0.0000 0.7724  2 Co 2.35
Zr: 0.8335 0.5000 0.6492  3 Co 2.65
Co: 0.6568 0.5000 0.2724  2 Co 2.35
Zr: 0.8335 0.0000 0.1492  3 Co 2.65
Zr: 0.2824 0.5000 0.0708  3 Co 2.64-2.93
Zr: 0.7176 0.5000 0.9292  3 Co 2.64-2.93
Zr: 0.7176 0.0000 0.4292  3 Co 2.64-2.93
Co: 0.3432 0.5000 0.7276  2 Co 2.35
Zr: 0.1665 0.0000 0.8508  3 Co 2.65
Zr: 0.2824 0.0000 0.5708  3 Co 2.64-2.93
Co: 0.3432 0.0000 0.2276  2 Co 2.35
Zr: 0.1665 0.5000 0.3508  3 Co 2.65

- D(E_F) (states/eV/cell) = 10.54
- space-group type = C2/m
- volume (Å³ per atom) = 19.09
- calculated formation energy (eV per atom) = -0.196
- E_tot (eV/atom) = -8.263